*w*
Compound: MnSbP2O
Source: Alexandria
Functional: PBE with a Hubbard U
Structure: optimized geometry

Values from the calculation:
Symmetry: No. 123
Total moment (Bohr magnetons per cell): 4.0
DOS(E_F) (states/eV/cell): 2.493

abc: 5.120 5.120 3.914
angles: 90.00 90.00 90.00
Element x y z (fractional)
Sb (0.000, 0.000, 0.000)
Mn (0.500, 0.500, 0.500)
O (0.000, 0.000, 0.500)
P (0.000, 0.500, 0.000)
P (0.500, 0.000, 0.000)

***

*x*
Compound: MnSbP2O
Source: Alexandria
Functional: PBE with a Hubbard U
Structure: optimized geometry

Values from the calculation:
Symmetry: No. 123
Total moment (Bohr magnetons per cell): 0.0
DOS(E_F) (states/eV/cell): 2.488

abc: 4.775 4.775 3.467
angles: 90.00 90.00 90.00
Element x y z (fractional)
Sb (0.500, 0.500, 0.500)
Mn (0.000, 0.000, 0.000)
O (0.000, 0.000, 0.500)
P (0.000, 0.500, 0.000)
P (0.500, 0.000, 0.000)

***

The structure with the least stability is *x*.

***

*w*
Compound: MnSnP2O8
Source: Alexandria
Functional: PBE with a Hubbard U
Structure: optimized geometry

Values from the calculation:
Symmetry: No. 148
Total moment (Bohr magnetons per cell): 3.0

abc: 4.742 4.742 7.917
angles: 72.57 72.57 60.00
Element x y z (fractional)
Mn (0.000, 0.000, 0.000)
Sn (0.500, 0.500, 0.500)
P (0.260, 0.260, 0.219)
P (0.740, 0.740, 0.781)
O (0.191, 0.191, 0.427)
O (0.607, 0.254, 0.156)
O (0.809, 0.809, 0.573)
O (0.984, 0.607, 0.156)
O (0.016, 0.393, 0.844)
O (0.254, 0.984, 0.156)
O (0.746, 0.016, 0.844)
O (0.393, 0.746, 0.844)

***

*x*
Compound: MnSnP2O8
Source: Alexandria
Functional: PBE with a Hubbard U
Structure: optimized geometry

Values from the calculation:
Symmetry: No. 11
Total moment (Bohr magnetons per cell): 10.0
DOS(E_F) (states/eV/cell): 0.000

abc: 5.039 6.091 10.213
angles: 90.00 90.67 90.00
Element x y z (fractional)
Mn (0.441, 0.750, 0.776)
Mn (0.559, 0.250, 0.224)
Sn (0.947, 0.250, 0.718)
Sn (0.053, 0.750, 0.282)
P (0.383, 0.250, 0.900)
P (0.617, 0.750, 0.100)
P (0.906, 0.750, 0.591)
P (0.094, 0.250, 0.409)
O (0.648, 0.750, 0.954)
O (0.352, 0.250, 0.046)
O (0.682, 0.250, 0.865)
O (0.318, 0.750, 0.135)
O (0.203, 0.750, 0.607)
O (0.797, 0.250, 0.393)
O (0.180, 0.250, 0.556)
O (0.820, 0.750, 0.444)
O (0.231, 0.054, 0.828)
O (0.231, 0.446, 0.828)
O (0.769, 0.554, 0.172)
O (0.769, 0.946, 0.172)
O (0.766, 0.951, 0.661)
O (0.766, 0.549, 0.661)
O (0.234, 0.049, 0.339)
O (0.234, 0.451, 0.339)

***

The structure with the least stability is *w*.

***

*w*
Compound: SrMnZnP2O8
Source: Alexandria
Functional: PBE with a Hubbard U
Structure: optimized geometry

Values from the calculation:
Symmetry: No. 2
Total moment (Bohr magnetons per cell): 8.0

abc: 6.528 8.573 8.948
angles: 119.99 98.55 111.47
Element x y z (fractional)
Sr (0.053, 0.637, 0.830)
Sr (0.947, 0.363, 0.170)
Mn (0.809, 0.702, 0.507)
Mn (0.191, 0.298, 0.493)
Zn (0.445, 0.202, 0.788)
Zn (0.555, 0.798, 0.212)
P (0.130, 0.899, 0.323)
P (0.870, 0.101, 0.677)
P (0.450, 0.398, 0.201)
P (0.550, 0.602, 0.799)
O (0.732, 0.720, 0.747)
O (0.250, 0.836, 0.184)
O (0.984, 0.275, 0.653)
O (0.487, 0.746, 0.952)
O (0.750, 0.164, 0.816)
O (0.868, 0.462, 0.468)
O (0.132, 0.538, 0.532)
O (0.654, 0.501, 0.869)
O (0.016, 0.725, 0.347)
O (0.346, 0.499, 0.131)
O (0.268, 0.280, 0.253)
O (0.672, 0.884, 0.482)
O (0.328, 0.116, 0.518)
O (0.939, 0.950, 0.262)
O (0.513, 0.254, 0.048)
O (0.061, 0.050, 0.738)

***

*x*
Compound: SrMnZnP2O8
Source: Alexandria
Functional: PBE with a Hubbard U
Structure: optimized geometry

Values from the calculation:
Symmetry: No. 2
Total moment (Bohr magnetons per cell): 10.0
DOS(E_F) (states/eV/cell): 0.000

abc: 5.533 7.028 9.557
angles: 110.60 102.20 97.91
Element x y z (fractional)
Sr (0.241, 0.799, 0.045)
Sr (0.759, 0.201, 0.955)
Mn (0.628, 0.835, 0.560)
Mn (0.372, 0.165, 0.440)
Zn (0.994, 0.375, 0.643)
Zn (0.006, 0.625, 0.357)
P (0.389, 0.418, 0.223)
P (0.611, 0.582, 0.777)
P (0.835, 0.018, 0.299)
P (0.165, 0.982, 0.701)
O (0.797, 0.552, 0.907)
O (0.203, 0.448, 0.093)
O (0.668, 0.469, 0.215)
O (0.332, 0.531, 0.785)
O (0.679, 0.804, 0.780)
O (0.321, 0.196, 0.220)
O (0.960, 0.118, 0.697)
O (0.040, 0.882, 0.303)
O (0.012, 0.754, 0.582)
O (0.988, 0.246, 0.418)
O (0.267, 0.998, 0.867)
O (0.733, 0.002, 0.133)
O (0.358, 0.575, 0.382)
O (0.642, 0.425, 0.618)
O (0.615, 0.947, 0.361)
O (0.385, 0.053, 0.639)

***

The structure with the least stability is *w*.

***

*w*
Compound: TaMnP2O
Source: Alexandria
Functional: PBE with a Hubbard U
Structure: optimized geometry

Values from the calculation:
Symmetry: No. 123
Total moment (Bohr magnetons per cell): 4.5
DOS(E_F) (states/eV/cell): 2.358

abc: 4.947 4.947 3.857
angles: 90.00 90.00 90.00
Element x y z (fractional)
P (0.000, 0.500, 0.000)
P (0.500, 0.000, 0.000)
Mn (0.500, 0.500, 0.500)
O (0.000, 0.000, 0.500)
Ta (0.000, 0.000, 0.000)

***

*x*
Compound: TaMnP2O
Source: Alexandria
Functional: PBE with a Hubbard U
Structure: optimized geometry

Values from the calculation:
Symmetry: No. 123
Total moment (Bohr magnetons per cell): 3.1
DOS(E_F) (states/eV/cell): 3.133

abc: 4.667 4.667 3.513
angles: 90.00 90.00 90.00
Element x y z (fractional)
P (0.000, 0.500, 0.000)
P (0.500, 0.000, 0.000)
Mn (0.000, 0.000, 0.000)
O (0.000, 0.000, 0.500)
Ta (0.500, 0.500, 0.500)

***

The structure with the least stability is *x*.